[1]
VASP calculation (GGA-PBE) on an optimized crystal structure of ScCuSb2.

```
ScCuSb2
1.0
4.1878 0.0000 0.0000
0.0000 3.8911 -0.0423
0.0000 1.9968 5.3213
Cu Sb Sc
1 2 1
Cartesian
2.0939 3.6793 4.3504
0.0000 5.6322 4.6985
2.0939 1.7306 1.7814
0.0000 3.6777 2.3672
```

## Properties
* formation energy from raw total energies: -0.34 eV/atom
* final energy: -0.36818 Ry per atom
* ρ: 6.71 g/cm3

[2]
VASP calculation (GGA-PBE) on an optimized crystal structure of BaGa12Pd6.

```
BaGa12Pd6
1.0
-3.8381 2.9921 5.3985
-0.5362 -7.1411 1.2428
6.8931 1.5446 1.7107
Ba Ga Pd
1 12 6
Cartesian
0.0000 0.0000 0.0000
-0.0228 2.6329 5.7898
0.5124 -0.7800 6.3427
3.2619 -1.1509 5.3979
1.1605 0.7718 3.0740
-0.7430 -1.4536 2.9541
2.0065 -1.8245 2.0092
5.4268 -1.8644 2.7439
-1.6257 -4.6752 3.9943
2.5417 -5.2373 2.5621
-2.9079 -0.7401 5.6081
4.1445 2.0707 4.3577
1.3584 -3.3762 5.2780
-0.9225 0.5361 4.6961
3.6690 -0.0833 3.1182
0.4902 -3.7996 2.9180
-1.1502 -2.5212 5.2338
3.4414 -3.1406 3.6559
2.0286 1.1951 5.4340
```

## Properties
* DFT formation energy: -508 meV per atom
* final energy: -0.30582 Ry per atom
* ρ: 7.79 g/cm3

[3]
VASP calculation (GGA-PBE) on an optimized crystal structure of LiCeNiAu.

```
LiCeNiAu
1.0
4.7921 0.0000 0.0000
2.3961 4.1501 0.0000
2.3961 1.3834 3.9128
Ni Au Ce Li
1 1 1 1
Cartesian
0.0000 0.0000 0.0000
4.7921 2.7667 1.9564
7.1882 4.1501 2.9346
2.3961 1.3834 0.9782
```

## Properties
* DFT formation energy: -274 meV per atom
* final energy: -0.33076 Ry per atom
* ρ: 8.59 g/cm3

[4]
VASP calculation (GGA-PBE) on an optimized crystal structure of ZrHg2Au.

```
ZrHg2Au
1.0
-2.7944 -1.5881 0.4990
1.6033 -2.3051 1.6422
-1.0825 4.0016 6.6737
Au Hg Zr
1 2 1
Cartesian
-1.4074 1.0546 6.0758
-1.0749 3.9735 6.6268
-0.5488 2.0289 3.3836
-0.8662 -0.9462 2.7390
```

## Properties
* DFT formation energy: -86 meV per atom
* final energy: -0.23468 Ry per atom
* excess energy over the best structure of this formula in the dataset: 0.073 eV/atom
* ρ: 13.77 g/cm3

[5]
VASP calculation (GGA-PBE) on an optimized crystal structure of LiP3Cl.

```
LiP3Cl
1.0
4.4468 0.0000 0.0000
0.0000 4.4468 0.0000
0.0000 0.0000 4.4468
P Li Cl
3 1 1
Cartesian
0.0000 2.2234 0.0000
0.0000 0.0000 2.2234
2.2234 0.0000 0.0000
0.0000 0.0000 0.0000
2.2234 2.2234 2.2234
```

## Properties
* formation energy from raw total energies: 0.98 eV/atom
* final energy: -0.22187 Ry per atom
* excess energy over the best structure of this formula in the dataset: 0.000 eV/atom
* ρ: 2.56 g/cm3

[6]
VASP calculation (GGA-PBE) on an optimized crystal structure of Sr3Cd7Ga2.

```
Sr3Cd7Ga2
1.0
-2.9621 2.9983 -1.8075
-4.5967 -3.4661 1.7834
1.3851 7.1745 9.6315
Sr Cd Ga
3 7 2
Cartesian
-3.7794 -0.2339 -0.0120
-4.0504 1.8683 3.9193
-2.1233 4.8384 5.6881
-1.8141 3.5479 8.8585
-3.1003 1.3064 7.2481
0.0000 0.0000 0.0000
-1.3975 0.1605 2.5565
-1.5333 2.7582 1.2705
-4.6403 3.9485 8.3369
-0.1112 2.4020 4.1669
0.2532 5.1620 8.1480
-3.4648 -1.4535 3.2669
```

## Properties
* DFT formation energy: -275 meV per atom
* final energy: -0.12742 Ry per atom
* ρ: 6.02 g/cm3

[7]
VASP calculation (GGA-PBE) on an optimized crystal structure of BeNi2Te.

```
BeNi2Te
1.0
3.2598 0.0000 0.0000
0.0000 3.3166 0.0000
0.0000 0.0000 5.0163
Ni Te Be
2 1 1
Cartesian
0.0000 0.0000 4.8370
1.6299 1.6583 1.2509
0.0000 0.0000 2.3684
1.6299 1.6583 4.0844
```

## Properties
* formation energy from raw total energies: 0.08 eV/atom
* final energy: -0.33293 Ry per atom
* excess energy over the best structure of this formula in the dataset: 0.106 eV/atom
* ρ: 7.78 g/cm3

[8]
VASP calculation (GGA-PBE) on an optimized crystal structure of CrCdBr2.

```
CrCdBr2
1.0
8.9820 0.0000 0.0000
0.0000 8.9820 0.0000
4.4910 4.4910 2.9503
Cr Br Cd
2 4 2
Cartesian
4.4910 4.4910 0.0000
4.4910 8.9820 1.4752
5.5502 2.2455 0.7376
3.4318 6.7365 0.7376
6.7365 7.9228 2.2127
11.2275 10.0413 2.2127
0.0000 0.0000 0.0000
8.9820 4.4910 1.4752
```

## Properties
* formation energy from raw total energies: -0.24 eV/atom
* final energy: -0.27269 Ry per atom
* excess energy over the best structure of this formula in the dataset: 0.091 eV/atom
* ρ: 4.52 g/cm3

[9]
VASP calculation (GGA-PBE) on an optimized crystal structure of Sm2Co2Si3.

```
Sm2Co2Si3
1.0
4.0244 0.0000 -0.9595
0.0000 6.6639 0.0000
0.0087 0.0000 8.9560
Sm Co Si
4 4 6
Cartesian
0.6476 1.6660 2.7165
3.3854 4.9980 5.2801
3.8145 1.6660 7.0799
0.2185 4.9980 0.9167
2.7940 6.2874 2.7995
1.2390 0.3765 5.1970
1.2390 2.9555 5.1970
2.7940 3.7085 2.7995
0.9002 4.9980 3.7759
3.1328 1.6660 4.2207
2.2709 2.8815 0.6053
1.7621 3.7825 7.3912
1.7621 6.2134 7.3912
2.2709 0.4505 0.6053
```

## Properties
* formation energy from raw total energies: -0.63 eV/atom
* final energy: -0.46567 Ry per atom
* ρ: 6.95 g/cm3

[10]
VASP calculation (GGA-PBE) on an optimized crystal structure of CaPtPb2.

```
CaPtPb2
1.0
-0.3410 4.4802 1.0512
0.6422 -0.9962 4.4541
4.5417 0.4745 -0.5487
Pb Ca Pt
2 1 1
Cartesian
0.0000 0.0000 0.0000
0.1506 1.7420 2.7527
2.5920 -0.2609 1.9527
2.1004 2.4774 0.2513
```

## Properties
* DFT formation energy: -331 meV per atom
* final energy: -0.30835 Ry per atom
* ρ: 11.03 g/cm3

[11]
VASP calculation (GGA-PBE) on an optimized crystal structure of Ac3Zn3Au2.

```
Ac3Zn3Au2
1.0
-0.9511 4.5445 -0.5215
-0.2814 -3.0739 -5.3442
-15.8863 -3.0290 2.5787
Ac Zn Au
6 6 4
Cartesian
-7.4936 0.4377 -3.4476
-14.5747 -2.9398 0.9640
-2.5441 1.3814 -4.2510
-9.6252 -1.9961 0.1605
-4.6151 1.3372 -0.8594
-12.5037 -2.8956 -2.4276
-7.7601 0.7675 -0.0874
-15.7179 -3.5384 -2.1674
-1.4009 1.9800 -1.1196
-9.3587 -2.3260 -3.1997
-4.4597 -1.2742 -2.9699
-12.6591 -0.2842 -0.3172
-15.0851 -0.9440 -1.6421
-6.4315 -1.4529 -0.9310
-10.6873 -0.1055 -2.3560
-2.0337 -0.6144 -1.6449
```

## Properties
* DFT formation energy: -536 meV per atom
* final energy: -0.24796 Ry per atom
* ρ: 9.66 g/cm3

[12]
VASP calculation (GGA-PBE) on an optimized crystal structure of TlInB2.

```
TlInB2
1.0
0.0000 3.2556 3.2556
3.2556 0.0000 3.2556
3.2556 3.2556 0.0000
Tl B In
1 2 1
Cartesian
3.2556 3.2556 3.2556
1.6278 1.6278 1.6278
4.8833 4.8833 4.8833
0.0000 0.0000 0.0000
```

## Properties
* DFT formation energy: 1617 meV per atom
* final energy: -0.22032 Ry per atom
* excess energy over the best structure of this formula in the dataset: 0.260 eV/atom
* ρ: 8.20 g/cm3